No. 1
# MnZn2Pb

MnZn2Pb after structural relaxation (GGA-PBE, the Alexandria database).

Cell: 6.756 6.756 6.756 Å, 90.00 90.00 90.00°
Space group F-43m (No. 216)
Symmetry-distinct sites (fractional):
Mn: 0.000 0.000 0.000 [4 per cell]
Zn: 0.000 0.000 0.500 [4 per cell]
Zn: 0.250 0.250 0.750 [4 per cell]
Pb: 0.250 0.250 0.250 [4 per cell]

E_form = 0.3830 eV/atom

No. 2
# Nd2TeS2

Nd2TeS2 after structural relaxation (GGA-PBE, the Alexandria database).

Cell: 4.6583 4.6583 7.7712 Å, 90.00 90.00 120.00°
Space group P-3m1 (No. 164)
Symmetry-distinct sites (fractional):
Nd: 0.3333 0.6667 0.2676 [2 per cell]
Te: 0.0000 0.0000 0.0000 [1 per cell]
S: 0.3333 0.6667 0.6360 [2 per cell]

Formation energy without anion corrections = -1881 meV per atom
Relative energy among the computed polymorphs = 0 meV per atom

Number 1: E_tot -55.58 eV per cell. Number 2: E_tot -30.34 eV per cell.